This record from the Alexandria database describes crystalline AcTbGaRh at its relaxed geometry. The functional is PBE-GGA.

Energy of formation from the pure elements = -0.4862 eV/atom

abc: 5.2069 5.2069 5.2069
angles: 60.00 60.00 60.00
Atoms (fractional coordinates):
Tb 0.0000 0.0000 0.0000
Rh 0.7500 0.7500 0.7500
Ac 0.5000 0.5000 0.5000
Ga 0.2500 0.2500 0.2500

---

This record from the Alexandria database describes crystalline TlMo2Os at its relaxed geometry. The functional is PBE-GGA.

Energy of formation from the pure elements = 0.5155 eV/atom
E above lowest polymorph = 0.54 eV per formula unit

abc: 2.8990 2.8990 8.2426
angles: 90.00 90.00 90.00
Atoms (fractional coordinates):
Mo 0.0000 0.0000 0.0230
Mo 0.5000 0.5000 0.2671
Os 0.0000 0.0000 0.4690
Tl 0.5000 0.5000 0.7409

---

This record from the Alexandria database describes crystalline UFe2Tc at its relaxed geometry. The functional is PBE-GGA.

Energy of formation from the pure elements = -0.0088 eV/atom
E above lowest polymorph = 0.00 eV per formula unit

abc: 3.7696 3.8888 3.8888
angles: 90.00 90.00 90.00
Last column: magnetic moment on the atom in μB.
Atoms (fractional coordinates):
Fe 0.0000 0.5000 0.0000  0.47
Fe 0.0000 0.0000 0.5000  0.47
Tc 0.5000 0.0000 0.0000  0.04
U 0.5000 0.5000 0.5000  -0.30

---

This record from the Alexandria database describes crystalline BeSnAsSe2 at its relaxed geometry. The functional is PBE-GGA.

E above lowest polymorph = 4.57 eV per formula unit

abc: 5.2724 5.2724 5.3171
angles: 90.00 90.00 90.00
Last column: magnetic moment on the atom in μB.
Atoms (fractional coordinates):
Be 0.5000 0.5000 0.5000  -0.06
Se 0.0000 0.5000 0.0000  0.07
Se 0.5000 0.0000 0.0000  0.07
Sn 0.0000 0.0000 0.0000  -0.01
As 0.0000 0.0000 0.5000  0.37

---

This record from the Alexandria database describes crystalline La3Rh at its relaxed geometry. The functional is PBE-GGA.

Energy of formation from the pure elements = -0.0127 eV/atom

abc: 6.0411 6.0411 6.0411
angles: 116.08 116.08 116.08
Atoms (fractional coordinates):
Rh 0.0000 0.0000 0.0000
La 0.5000 0.0000 0.5000
La 0.0000 0.5000 0.5000
La 0.5000 0.5000 0.0000

---

This record from the Alexandria database describes crystalline BeHgPt3 at its relaxed geometry. The functional is PBE-GGA.

Energy of formation from the pure elements = 0.2622 eV/atom
E above lowest polymorph = 2.83 eV per formula unit

abc: 4.8356 4.8356 10.4957
angles: 76.68 76.68 90.00
Atoms (fractional coordinates):
Be 0.6290 0.1290 0.7420
Be 0.8710 0.3710 0.2580
Pt 0.3682 0.3682 0.2635
Pt 0.1254 0.3722 0.7492
Pt 0.6318 0.6318 0.7365
Pt 0.1254 0.8786 0.7492
Pt 0.1214 0.8746 0.2508
Pt 0.6278 0.8746 0.2508
Hg 0.2500 0.7500 0.5000
Hg 0.0000 0.0000 0.0000

---

This record from the Alexandria database describes crystalline Na14Ag2Te9 at its relaxed geometry. The functional is PBE-GGA.

Electronic total energy = -0.1040 Ha/atom

abc: 8.9320 8.9320 12.3089
angles: 90.00 90.00 120.00
Atoms (fractional coordinates):
Na 0.6690 0.6545 0.0894
Na 0.0000 0.0000 0.7471
Na 0.9854 0.3310 0.0894
Na 0.3310 0.3455 0.9106
Na 0.9518 0.6279 0.4031
Na 0.3455 0.0146 0.0894
Na 0.3721 0.3239 0.4031
Na 0.6545 0.9854 0.9106
Na 0.6279 0.6761 0.5969
Na 0.0000 0.0000 0.2529
Na 0.0482 0.3721 0.5969
Na 0.6761 0.0482 0.4031
Na 0.0146 0.6690 0.9106
Na 0.3239 0.9518 0.5969
Te 0.0461 0.3504 0.3390
Te 0.6667 0.3333 0.9773
Te 0.0000 0.0000 0.0000
Te 0.3043 0.9539 0.3390
Te 0.9539 0.6496 0.6610
Te 0.6957 0.0461 0.6610
Te 0.6496 0.6957 0.3390
Te 0.3504 0.3043 0.6610
Te 0.3333 0.6667 0.0227
Ag 0.3333 0.6667 0.2561
Ag 0.6667 0.3333 0.7439

---

This record from the Alexandria database describes crystalline Cu6AgPd8 at its relaxed geometry. The functional is PBE-GGA.

Energy of formation from the pure elements = 0.0775 eV/atom
E above lowest polymorph = 0.00 eV per formula unit

abc: 6.6100 6.6100 6.6100
angles: 65.67 65.67 65.67
Atoms (fractional coordinates):
Pd 0.8582 0.5905 0.1724
Pd 0.5905 0.1724 0.8582
Pd 0.1418 0.4095 0.8276
Pd 0.2597 0.2597 0.2597
Pd 0.7403 0.7403 0.7403
Pd 0.8276 0.1418 0.4095
Pd 0.4095 0.8276 0.1418
Pd 0.1724 0.8582 0.5905
Ag 0.0000 0.0000 0.0000
Cu 0.6187 0.9176 0.3438
Cu 0.0824 0.6562 0.3813
Cu 0.6562 0.3813 0.0824
Cu 0.9176 0.3438 0.6187
Cu 0.3438 0.6187 0.9176
Cu 0.3813 0.0824 0.6562

---

no.,density of states at the Fermi level (states/eV/atom)
1,0.801
2,0.461
3,1.396
4,0.937
5,1.594
6,0.398
7,0.951
8,0.981